A geometry-optimized Mg2AgRh structure, computed with PBE-GGA.

Output
Energy (eV/atom): -3.572
Density of states at the Fermi level (states/eV/atom): 0.750
Total magnetization (μB/atom): 0.00
Energy relative to the elements (eV per atom): -0.224

abc: 3.025 3.025 26.228
angles: 90.00 90.00 120.00
Positions (direct):
Mg (0.000, 0.000, 0.243)
Mg (0.000, 0.000, 0.757)
Mg (0.333, 0.667, 0.424)
Mg (0.333, 0.667, 0.910)
Mg (0.667, 0.333, 0.090)
Mg (0.667, 0.333, 0.576)
Ag (0.000, 0.000, 0.000)
Ag (0.333, 0.667, 0.667)
Ag (0.667, 0.333, 0.333)
Rh (0.000, 0.000, 0.500)
Rh (0.333, 0.667, 0.167)
Rh (0.667, 0.333, 0.833)